The following is a DFT calculation (PBE) of crystalline GaH2Rh at its relaxed geometry.

Calculated values
- final energy (eV/atom) = -3.72
- energy above the lowest structure with this stoichiometry (meV per atom) = 502.5
- space group = Fm-3m (225)

Cell and atoms, written as extended XYZ:
```
4
Lattice="0.000 2.633 2.633 2.633 0.000 2.633 2.633 2.633 0.000" Properties=species:S:1:pos:R:3 pbc="T T T"
H 3.950 3.950 3.950
Rh 2.633 2.633 2.633
H 1.317 1.317 1.317
Ga 0.000 0.000 0.000
```

=====

The following is a DFT calculation (PBE) of crystalline GaHRh at its relaxed geometry.

Calculated values
- final energy (eV/atom) = -4.52
- energy above the lowest structure with this stoichiometry (meV per atom) = 381.7
- space group = I4mm (107)

Cell and atoms, written as extended XYZ:
```
3
Lattice="-1.696 -1.287 2.716 2.977 -0.288 1.722 -1.084 4.195 -0.883" Properties=species:S:1:pos:R:3 pbc="T T T"
Rh 0.463 0.577 2.754
Ga -0.211 1.618 0.635
H 0.274 2.023 3.322
```

=====

> Which of these has the highest final energy?

GaH2Rh

=====

Please write out number 2 again, unchanged.
The following is a DFT calculation (PBE) of crystalline GaHRh at its relaxed geometry.

Calculated values
- final energy (eV/atom) = -4.52
- energy above the lowest structure with this stoichiometry (meV per atom) = 381.7
- space group = I4mm (107)

Cell and atoms, written as extended XYZ:
```
3
Lattice="-1.696 -1.287 2.716 2.977 -0.288 1.722 -1.084 4.195 -0.883" Properties=species:S:1:pos:R:3 pbc="T T T"
Rh 0.463 0.577 2.754
Ga -0.211 1.618 0.635
H 0.274 2.023 3.322
```

=====

Please write out number 1 again, unchanged.
The following is a DFT calculation (PBE) of crystalline GaH2Rh at its relaxed geometry.

Calculated values
- final energy (eV/atom) = -3.72
- energy above the lowest structure with this stoichiometry (meV per atom) = 502.5
- space group = Fm-3m (225)

Cell and atoms, written as extended XYZ:
```
4
Lattice="0.000 2.633 2.633 2.633 0.000 2.633 2.633 2.633 0.000" Properties=species:S:1:pos:R:3 pbc="T T T"
H 3.950 3.950 3.950
Rh 2.633 2.633 2.633
H 1.317 1.317 1.317
Ga 0.000 0.000 0.000
```

=====

> final energy of number 1 (GaH2Rh)?

-3.72 eV/atom